Cs2BeIr | PBE-GGA | optimized geometry

## Properties
distance to the lowest polymorph of the same formula	0.227	eV per atom
total magnetic moment	0.0	μB per formula unit
calculated total energy	-0.0694	hartree per atom

a b c (Å): 9.2912 9.2912 13.1808
angles (deg): 90.00 90.00 90.00
Last column: nearest neighbours and their distance in Å.
Space group I-42d (No. 122)
Symmetry-distinct sites (fractional):
Cs 0.0049 0.2500 0.1250 x8  2 Ir 2.85
Be 0.0000 0.0000 0.5000 x4  12 Cs 5.41-5.49, 4 Be 5.70, 4 Ir 5.70
Ir 0.0000 0.0000 0.0000 x4  4 Cs 2.85

CsBe3Ir | PBE-GGA | optimized geometry

## Properties
distance to the lowest polymorph of the same formula	2.598	eV per atom
total magnetic moment	0.0	μB per formula unit
calculated total energy	-0.0424	hartree per atom

a b c (Å): 4.6469 4.6469 4.6469
angles (deg): 90.00 90.00 90.00
Last column: nearest neighbours and their distance in Å.
Space group Pm-3m (No. 221)
Symmetry-distinct sites (fractional):
Cs 0.0000 0.0000 0.0000 x1  6 Be 2.32
Be 0.0000 0.0000 0.5000 x3  2 Cs 2.32
Ir 0.5000 0.5000 0.5000 x1  12 Be 3.29

CsBe3Ir | PBE-GGA | optimized geometry

## Properties
distance to the lowest polymorph of the same formula	0.000	eV per atom
total magnetic moment	0.0	μB per formula unit
calculated total energy	-0.1379	hartree per atom

a b c (Å): 4.5932 4.5932 4.5932
angles (deg): 90.00 90.00 90.00
Last column: nearest neighbours and their distance in Å.
Space group Pm-3m (No. 221)
Symmetry-distinct sites (fractional):
Cs 0.0000 0.0000 0.0000 x1  12 Be 3.25
Be 0.0000 0.5000 0.5000 x3  2 Ir 2.30
Ir 0.5000 0.5000 0.5000 x1  6 Be 2.30

CsBeIrPt2 | PBE-GGA | optimized geometry

## Properties
total magnetic moment	0.0	μB per formula unit
calculated total energy	-0.1654	hartree per atom

a b c (Å): 4.5756 4.5756 4.4545
angles (deg): 90.00 90.00 90.00
Last column: nearest neighbours and their distance in Å.
Space group P4/mmm (No. 123)
Symmetry-distinct sites (fractional):
Cs 0.0000 0.0000 0.0000 x1  8 Pt 3.19, 4 Ir 3.24
Be 0.5000 0.5000 0.5000 x1  2 Ir 2.23, 4 Pt 2.29
Ir 0.5000 0.5000 0.0000 x1  2 Be 2.23
Pt 0.0000 0.5000 0.5000 x2  2 Be 2.29

Mass density values (in g cm⁻³) by entry order: 2.726; 5.828; 6.035; 12.896.